w) {"formula": "Sr2LiLa", "functional": "PBEsol", "state": "optimized geometry", "cell": [[0.000, 4.284, 4.284], [4.284, 0.000, 4.284], [4.284, 4.284, 0.000]], "species": ["Sr", "Sr", "Li", "La"], "fractional_positions": [[0.000, 0.000, 0.000], [0.250, 0.250, 0.250], [0.500, 0.500, 0.500], [0.750, 0.750, 0.750]], "magnetic_moment_mub_per_fu": 0.0, "sg": "F-43m, No. 216", "n_ef_per_ev_fu": 5.9}


x) {"formula": "Sr2LiLa", "functional": "PBEsol", "state": "optimized geometry", "cell": [[2.718, -2.724, 0.000], [2.718, 2.724, 0.000], [0.000, 0.000, 10.544]], "species": ["Sr", "Sr", "Li", "La"], "fractional_positions": [[0.000, 0.000, 0.228], [0.000, 0.000, 0.772], [0.500, 0.500, 0.000], [0.500, 0.500, 0.500]], "magnetic_moment_mub_per_fu": 0.0, "sg": "Cmmm, No. 65", "n_ef_per_ev_fu": 5.8}


Sorted by energy, starting with the most stable: x), w).


w) {"formula": "LiLaTc2", "functional": "PBEsol", "state": "optimized geometry", "cell": [[-2.291, 2.291, 3.234], [2.291, -2.291, 3.234], [2.291, 2.291, -3.234]], "species": ["Li", "La", "Tc", "Tc"], "fractional_positions": [[0.000, 0.000, 0.000], [0.750, 0.250, 0.500], [0.250, 0.750, 0.500], [0.500, 0.500, 0.000]], "magnetic_moment_mub_per_fu": 0.0, "sg": "I-4m2, No. 119", "n_ef_per_ev_fu": 3.8}


x) {"formula": "LiLaTc2", "functional": "PBEsol", "state": "optimized geometry", "cell": [[1.395, 0.805, 10.217], [-1.395, 0.805, 10.217], [0.000, -1.611, 10.217]], "species": ["Li", "La", "Tc", "Tc"], "fractional_positions": [[0.000, 0.000, 0.000], [0.500, 0.500, 0.500], [0.258, 0.258, 0.258], [0.742, 0.742, 0.742]], "magnetic_moment_mub_per_fu": 0.0, "sg": "R-3m, No. 166", "n_ef_per_ev_fu": 4.0}


y) {"formula": "LiLaTc2", "functional": "PBEsol", "state": "optimized geometry", "cell": [[2.657, -4.701, 0.000], [2.657, 4.701, 0.000], [-1.254, 0.000, 2.661]], "species": ["Li", "La", "Tc", "Tc"], "fractional_positions": [[0.000, 0.000, 0.000], [0.500, 0.500, 0.000], [0.000, 0.500, 0.500], [0.500, 0.000, 0.500]], "magnetic_moment_mub_per_fu": 0.0, "sg": "C2/m, No. 12", "n_ef_per_ev_fu": 4.3}


Sorted by energy, starting with the most stable: w), y), x).


w) {"formula": "Li2LaTl", "functional": "PBEsol", "state": "optimized geometry", "cell": [[-2.306, 2.306, 10.100], [2.306, -2.306, 10.100], [2.306, 2.306, -10.100]], "species": ["Li", "Li", "Li", "Li", "La", "La", "Tl", "Tl"], "fractional_positions": [[0.009, 0.625, 0.884], [0.375, 0.259, 0.384], [0.741, 0.125, 0.116], [0.875, 0.991, 0.616], [0.250, 0.750, 0.500], [0.500, 0.500, 0.000], [0.000, 0.000, 0.000], [0.750, 0.250, 0.500]], "magnetic_moment_mub_per_fu": 0.0, "sg": "I-42d, No. 122", "n_ef_per_ev_fu": 4.9}


x) {"formula": "Li2LaTl", "functional": "PBEsol", "state": "optimized geometry", "cell": [[3.512, 0.000, 0.000], [0.000, 3.512, 0.000], [0.000, 0.000, 7.473]], "species": ["Li", "Li", "La", "Tl"], "fractional_positions": [[0.000, 0.000, 0.194], [0.000, 0.000, 0.806], [0.500, 0.500, 0.500], [0.500, 0.500, 0.000]], "magnetic_moment_mub_per_fu": 0.0, "sg": "P4/mmm, No. 123", "n_ef_per_ev_fu": 3.5}


Sorted by energy, starting with the most stable: x), w).


w) {"formula": "Li2LaTl", "functional": "PBEsol", "state": "optimized geometry", "cell": [[0.000, 3.651, 3.651], [3.651, 0.000, 3.651], [3.651, 3.651, 0.000]], "species": ["Li", "Li", "La", "Tl"], "fractional_positions": [[0.000, 0.000, 0.000], [0.250, 0.250, 0.250], [0.750, 0.750, 0.750], [0.500, 0.500, 0.500]], "magnetic_moment_mub_per_fu": 0.0, "sg": "F-43m, No. 216", "n_ef_per_ev_fu": 1.1}


x) {"formula": "Li2LaTl", "functional": "PBEsol", "state": "optimized geometry", "cell": [[0.000, 3.509, 3.509], [3.509, 0.000, 3.509], [3.509, 3.509, 0.000]], "species": ["Li", "Li", "La", "Tl"], "fractional_positions": [[0.250, 0.250, 0.250], [0.750, 0.750, 0.750], [0.000, 0.000, 0.000], [0.500, 0.500, 0.500]], "magnetic_moment_mub_per_fu": 0.0, "sg": "Fm-3m, No. 225", "n_ef_per_ev_fu": 0.9}


Sorted by energy, starting with the most stable: x), w).


w) {"formula": "Li2LaTl2", "functional": "PBEsol", "state": "optimized geometry", "cell": [[-2.126, 2.126, 6.805], [2.126, -2.126, 6.805], [2.126, 2.126, -6.805]], "species": ["Li", "Li", "La", "Tl", "Tl"], "fractional_positions": [[0.250, 0.750, 0.500], [0.750, 0.250, 0.500], [0.000, 0.000, 0.000], [0.386, 0.386, 0.000], [0.614, 0.614, 0.000]], "magnetic_moment_mub_per_fu": 0.0, "sg": "I4/mmm, No. 139", "n_ef_per_ev_fu": 3.5}


x) {"formula": "Li2LaTl2", "functional": "PBEsol", "state": "optimized geometry", "cell": [[8.439, 0.000, 0.000], [0.000, 8.439, 0.000], [0.000, 0.000, 3.189]], "species": ["Li", "Li", "Li", "Li", "La", "La", "Tl", "Tl", "Tl", "Tl"], "fractional_positions": [[0.116, 0.384, 0.000], [0.384, 0.884, 0.000], [0.616, 0.116, 0.000], [0.884, 0.616, 0.000], [0.000, 0.000, 0.000], [0.500, 0.500, 0.000], [0.178, 0.678, 0.500], [0.322, 0.178, 0.500], [0.678, 0.822, 0.500], [0.822, 0.322, 0.500]], "magnetic_moment_mub_per_fu": 0.0, "sg": "P4/mbm, No. 127", "n_ef_per_ev_fu": 3.4}


Sorted by energy, starting with the most stable: x), w).


w) {"formula": "LiLa2Y", "functional": "PBEsol", "state": "optimized geometry", "cell": [[3.530, 0.000, 0.000], [0.000, 3.530, 0.000], [0.000, 0.000, 9.772]], "species": ["Li", "La", "La", "Y"], "fractional_positions": [[0.000, 0.000, 0.000], [0.500, 0.500, 0.239], [0.500, 0.500, 0.761], [0.000, 0.000, 0.500]], "magnetic_moment_mub_per_fu": 0.0, "sg": "P4/mmm, No. 123", "n_ef_per_ev_fu": 5.6}


x) {"formula": "LiLa2Y", "functional": "PBEsol", "state": "optimized geometry", "cell": [[3.636, 0.000, 0.000], [0.000, 3.636, 0.000], [0.000, 0.000, 8.975]], "species": ["Li", "La", "La", "Y"], "fractional_positions": [[0.000, 0.000, 0.000], [0.000, 0.000, 0.484], [0.500, 0.500, 0.762], [0.500, 0.500, 0.214]], "magnetic_moment_mub_per_fu": 0.0, "sg": "P4mm, No. 99", "n_ef_per_ev_fu": 6.4}


y) {"formula": "LiLa2Y", "functional": "PBEsol", "state": "optimized geometry", "cell": [[1.766, 1.020, 11.327], [-1.766, 1.020, 11.327], [0.000, -2.039, 11.327]], "species": ["Li", "La", "La", "Y"], "fractional_positions": [[0.000, 0.000, 0.000], [0.503, 0.503, 0.503], [0.750, 0.750, 0.750], [0.255, 0.255, 0.255]], "magnetic_moment_mub_per_fu": 0.0, "sg": "R3m, No. 160", "n_ef_per_ev_fu": 5.0}


Sorted by energy, starting with the most stable: x), w), y).


w) {"formula": "Li2LaZn2", "functional": "PBEsol", "state": "optimized geometry", "cell": [[-1.979, 1.979, 6.515], [1.979, -1.979, 6.515], [1.979, 1.979, -6.515]], "species": ["Li", "Li", "La", "Zn", "Zn"], "fractional_positions": [[0.250, 0.750, 0.500], [0.750, 0.250, 0.500], [0.000, 0.000, 0.000], [0.393, 0.393, 0.000], [0.607, 0.607, 0.000]], "magnetic_moment_mub_per_fu": 0.0, "sg": "I4/mmm, No. 139", "n_ef_per_ev_fu": 3.5}


x) {"formula": "Li2LaZn2", "functional": "PBEsol", "state": "optimized geometry", "cell": [[7.947, 0.000, 0.000], [0.000, 7.947, 0.000], [0.000, 0.000, 2.944]], "species": ["Li", "Li", "Li", "Li", "La", "La", "Zn", "Zn", "Zn", "Zn"], "fractional_positions": [[0.116, 0.384, 0.000], [0.384, 0.884, 0.000], [0.616, 0.116, 0.000], [0.884, 0.616, 0.000], [0.000, 0.000, 0.000], [0.500, 0.500, 0.000], [0.178, 0.678, 0.500], [0.322, 0.178, 0.500], [0.678, 0.822, 0.500], [0.822, 0.322, 0.500]], "magnetic_moment_mub_per_fu": 0.0, "sg": "P4/mbm, No. 127", "n_ef_per_ev_fu": 3.2}


Sorted by energy, starting with the most stable: w), x).


w) {"formula": "LiLaZn", "functional": "PBEsol", "state": "optimized geometry", "cell": [[4.830, 0.000, 0.000], [-2.415, 4.183, 0.000], [0.000, 0.000, 3.294]], "species": ["Li", "La", "Zn"], "fractional_positions": [[0.000, 0.000, 0.000], [0.667, 0.333, 0.500], [0.333, 0.667, 0.000]], "magnetic_moment_mub_per_fu": 0.0, "sg": "P-6m2, No. 187", "n_ef_per_ev_fu": 1.8}


x) {"formula": "LiLaZn", "functional": "PBEsol", "state": "optimized geometry", "cell": [[-1.844, 1.844, 4.971], [1.844, -1.844, 4.971], [1.844, 1.844, -4.971]], "species": ["Li", "La", "Zn"], "fractional_positions": [[0.000, 0.000, 0.000], [0.298, 0.298, 0.000], [0.621, 0.621, 0.000]], "magnetic_moment_mub_per_fu": 0.0, "sg": "I4mm, No. 107", "n_ef_per_ev_fu": 1.7}


Sorted by energy, starting with the most stable: w), x).


w) {"formula": "LiLa2Zr", "functional": "PBEsol", "state": "optimized geometry", "cell": [[3.297, 0.000, 0.000], [0.000, 5.283, 0.000], [-1.634, 0.000, 6.224]], "species": ["Li", "La", "La", "Zr"], "fractional_positions": [[0.000, 0.000, 0.000], [0.404, 0.500, 0.806], [0.720, 0.000, 0.444], [0.130, 0.500, 0.264]], "magnetic_moment_mub_per_fu": 0.0, "sg": "Pm, No. 6", "n_ef_per_ev_fu": 3.5}


x) {"formula": "LiLa2Zr", "functional": "PBEsol", "state": "optimized geometry", "cell": [[1.700, 0.982, 11.209], [-1.700, 0.982, 11.209], [0.000, -1.963, 11.209]], "species": ["Li", "La", "La", "Zr"], "fractional_positions": [[0.000, 0.000, 0.000], [0.246, 0.246, 0.246], [0.754, 0.754, 0.754], [0.500, 0.500, 0.500]], "magnetic_moment_mub_per_fu": 0.0, "sg": "R-3m, No. 166", "n_ef_per_ev_fu": 4.2}


Sorted by energy, starting with the most stable: x), w).


w) {"formula": "La2Mg", "functional": "PBEsol", "state": "optimized geometry", "cell": [[5.455, 0.000, 0.000], [-2.728, 4.724, 0.000], [0.000, 0.000, 3.531]], "species": ["La", "La", "Mg"], "fractional_positions": [[0.333, 0.667, 0.314], [0.667, 0.333, 0.686], [0.000, 0.000, 0.000]], "magnetic_moment_mub_per_fu": 0.0, "sg": "P-3m1, No. 164", "n_ef_per_ev_fu": 2.8}


x) {"formula": "La2Mg", "functional": "PBEsol", "state": "optimized geometry", "cell": [[5.230, -3.109, 0.000], [5.230, 3.109, 0.000], [-3.417, 0.000, 5.629]], "species": ["La", "La", "La", "La", "Mg", "Mg"], "fractional_positions": [[0.081, 0.256, 0.252], [0.256, 0.081, 0.752], [0.744, 0.919, 0.248], [0.919, 0.744, 0.748], [0.417, 0.583, 0.250], [0.583, 0.417, 0.750]], "magnetic_moment_mub_per_fu": 0.0, "sg": "C2/c, No. 15", "n_ef_per_ev_fu": 3.7}


Sorted by energy, starting with the most stable: x), w).


w) {"formula": "La2Mg", "functional": "PBEsol", "state": "optimized geometry", "cell": [[3.046, 1.759, 5.749], [-3.046, 1.759, 5.749], [0.000, -3.517, 5.749]], "species": ["La", "La", "La", "La", "Mg", "Mg"], "fractional_positions": [[0.000, 0.000, 0.000], [0.185, 0.815, 0.500], [0.500, 0.185, 0.815], [0.815, 0.500, 0.185], [0.330, 0.330, 0.330], [0.670, 0.670, 0.670]], "magnetic_moment_mub_per_fu": 0.0, "sg": "R32, No. 155", "n_ef_per_ev_fu": 3.1}


x) {"formula": "La2Mg", "functional": "PBEsol", "state": "optimized geometry", "cell": [[-4.171, 4.171, 2.715], [4.171, -4.171, 2.715], [4.171, 4.171, -2.715]], "species": ["La", "La", "La", "La", "Mg", "Mg"], "fractional_positions": [[0.149, 0.649, 0.798], [0.351, 0.149, 0.500], [0.649, 0.851, 0.500], [0.851, 0.351, 0.202], [0.250, 0.250, 0.000], [0.750, 0.750, 0.000]], "magnetic_moment_mub_per_fu": 0.0, "sg": "I4/mcm, No. 140", "n_ef_per_ev_fu": 3.7}


Sorted by energy, starting with the most stable: w), x).


w) {"formula": "La4Mg3", "functional": "PBEsol", "state": "optimized geometry", "cell": [[6.086, 0.000, 0.000], [-3.043, 5.271, 0.000], [0.000, 0.000, 6.568]], "species": ["La", "La", "La", "La", "Mg", "Mg", "Mg"], "fractional_positions": [[0.000, 0.000, 0.225], [0.000, 0.000, 0.775], [0.333, 0.667, 0.000], [0.667, 0.333, 0.000], [0.000, 0.500, 0.500], [0.500, 0.000, 0.500], [0.500, 0.500, 0.500]], "magnetic_moment_mub_per_fu": 0.0, "sg": "P6/mmm, No. 191", "n_ef_per_ev_fu": 9.5}


x) {"formula": "La4Mg3", "functional": "PBEsol", "state": "optimized geometry", "cell": [[-1.784, 1.784, 16.518], [1.784, -1.784, 16.518], [1.784, 1.784, -16.518]], "species": ["La", "La", "La", "La", "Mg", "Mg", "Mg"], "fractional_positions": [[0.071, 0.071, 0.000], [0.350, 0.350, 0.000], [0.650, 0.650, 0.000], [0.929, 0.929, 0.000], [0.223, 0.223, 0.000], [0.500, 0.500, 0.000], [0.777, 0.777, 0.000]], "magnetic_moment_mub_per_fu": 0.0, "sg": "I4/mmm, No. 139", "n_ef_per_ev_fu": 7.8}


Sorted by energy, starting with the most stable: x), w).


w) {"formula": "LaMgMo", "functional": "PBEsol", "state": "optimized geometry", "cell": [[0.000, 2.524, 7.547], [1.725, 0.000, 7.547], [1.725, 2.524, 0.000]], "species": ["La", "Mg", "Mo"], "fractional_positions": [[0.000, 0.000, 0.000], [0.707, 0.707, 0.293], [0.353, 0.353, 0.647]], "magnetic_moment_mub_per_fu": 0.0, "sg": "Fmm2, No. 42", "n_ef_per_ev_fu": 3.1}


x) {"formula": "LaMgMo", "functional": "PBEsol", "state": "optimized geometry", "cell": [[0.000, 3.325, 3.325], [3.325, 0.000, 3.325], [3.325, 3.325, 0.000]], "species": ["La", "Mg", "Mo"], "fractional_positions": [[0.000, 0.000, 0.000], [0.500, 0.500, 0.500], [0.250, 0.250, 0.250]], "magnetic_moment_mub_per_fu": 1.0, "sg": "F-43m, No. 216", "n_ef_per_ev_fu": 4.3}


Sorted by energy, starting with the most stable: w), x).